Record 1
Tl4BiN2 | the Alexandria database | PBE | optimized geometry; uncorrected formation energy = 0.6658 eV/atom; symmetry = No. 12; final energy = -3.62 eV per atom
1.0
9.740 -1.795 0.000
9.740 1.795 0.000
-1.287 0.000 4.845
Tl Bi N
4 1 2
direct
0.105 0.105 0.106 Tl
0.294 0.294 0.293 Tl
0.706 0.706 0.707 Tl
0.895 0.895 0.894 Tl
0.000 0.000 0.500 Bi
0.305 0.305 0.806 N
0.695 0.695 0.194 N

---

Record 2
TlBiN | the Alexandria database | PBE | optimized geometry; uncorrected formation energy = 0.6144 eV/atom; symmetry = No. 1; E above lowest polymorph = 0.0648 eV per atom; final energy = -4.24 eV per atom
1.0
3.644 0.000 0.000
-1.822 3.157 0.000
-0.002 -0.221 12.614
Tl Bi N
2 2 2
direct
0.000 0.000 0.000 Tl
0.321 0.647 0.253 Tl
0.000 0.004 0.521 Bi
0.670 0.343 0.766 Bi
0.330 0.664 0.441 N
0.986 0.976 0.194 N

---

Record 3
TlBi2N2 | the Alexandria database | PBE | optimized geometry; uncorrected formation energy = 1.1777 eV/atom; symmetry = No. 127; E above lowest polymorph = 1.0140 eV per atom; final energy = -4.18 eV per atom
1.0
8.159 0.000 0.000
0.000 8.159 0.000
0.000 0.000 3.211
Tl Bi N
2 4 4
direct
0.000 0.000 0.000 Tl
0.500 0.500 0.000 Tl
0.126 0.374 0.000 Bi
0.374 0.874 0.000 Bi
0.626 0.126 0.000 Bi
0.874 0.626 0.000 Bi
0.117 0.617 0.500 N
0.383 0.117 0.500 N
0.617 0.883 0.500 N
0.883 0.383 0.500 N

---

Record 4
Tl2BiN2 | the Alexandria database | PBE | optimized geometry; uncorrected formation energy = 0.1215 eV/atom; symmetry = No. 12; E above lowest polymorph = 0.0000 eV per atom; final energy = -4.93 eV per atom
1.0
4.271 -2.467 0.000
4.271 2.467 0.000
-0.192 0.000 9.846
Tl Bi N
2 1 2
direct
0.163 0.163 0.348 Tl
0.837 0.837 0.652 Tl
0.500 0.500 0.500 Bi
0.441 0.441 0.975 N
0.559 0.559 0.025 N

---

Record 5
Tl3BiN | the Alexandria database | PBE | optimized geometry; uncorrected formation energy = 0.5669 eV/atom; symmetry = No. 221; E above lowest polymorph = 0.1106 eV per atom; final energy = -3.29 eV per atom
1.0
5.047 0.000 0.000
0.000 5.047 0.000
0.000 0.000 5.047
Tl Bi N
3 1 1
direct
0.000 0.000 0.500 Tl
0.000 0.500 0.000 Tl
0.500 0.000 0.000 Tl
0.500 0.500 0.500 Bi
0.000 0.000 0.000 N

---

Record 6
TlBiN | the Alexandria database | PBE | optimized geometry; uncorrected formation energy = 0.5496 eV/atom; symmetry = No. 2; E above lowest polymorph = 0.0000 eV per atom; final energy = -4.31 eV per atom
1.0
4.996 0.000 0.000
-0.114 5.279 0.000
-0.620 -0.499 6.204
Tl Bi N
2 2 2
direct
0.222 0.276 0.045 Tl
0.778 0.724 0.955 Tl
0.231 0.784 0.499 Bi
0.769 0.216 0.501 Bi
0.017 0.008 0.742 N
0.983 0.992 0.258 N

---

Record 7
TlBi2N | the Alexandria database | PBE | optimized geometry; uncorrected formation energy = 0.3932 eV/atom; symmetry = No. 1; E above lowest polymorph = 0.0141 eV per atom; final energy = -4.22 eV per atom
1.0
6.136 0.000 0.000
2.353 5.920 0.000
2.710 2.171 6.092
Tl Bi N
2 4 2
direct
0.000 0.000 0.000 Tl
0.268 0.424 0.928 Tl
0.371 0.850 0.385 Bi
0.601 0.352 0.272 Bi
0.676 0.935 0.709 Bi
0.960 0.473 0.495 Bi
0.052 0.700 0.625 N
0.567 0.674 0.646 N

---

Record 8
TlBi2N | the Alexandria database | PBE | optimized geometry; uncorrected formation energy = 0.6359 eV/atom; symmetry = No. 122; E above lowest polymorph = 0.2568 eV per atom; final energy = -3.98 eV per atom
1.0
-2.976 2.976 6.892
2.976 -2.976 6.892
2.976 2.976 -6.892
Tl Bi N
2 4 2
direct
0.000 0.000 0.000 Tl
0.750 0.250 0.500 Tl
0.255 0.625 0.130 Bi
0.375 0.505 0.630 Bi
0.495 0.125 0.870 Bi
0.875 0.745 0.370 Bi
0.250 0.750 0.500 N
0.500 0.500 0.000 N

---

Record 9
UTlBiN | the Alexandria database | PBE | optimized geometry; uncorrected formation energy = -0.5111 eV/atom; symmetry = No. 129; final energy = -6.98 eV per atom
1.0
4.090 0.000 0.000
0.000 4.090 0.000
0.000 0.000 11.793
U Tl Bi N
2 2 2 2
direct
0.250 0.250 0.087 U
0.750 0.750 0.913 U
0.250 0.750 0.500 Tl
0.750 0.250 0.500 Tl
0.250 0.250 0.754 Bi
0.750 0.750 0.246 Bi
0.250 0.750 0.000 N
0.750 0.250 0.000 N

---

Record 10
Y4TlBiN | the Alexandria database | PBE | optimized geometry; uncorrected formation energy = -0.8669 eV/atom; symmetry = No. 63; final energy = -6.64 eV per atom
1.0
3.354 -8.035 0.000
3.354 8.035 0.000
0.000 0.000 6.714
Y Tl Bi N
8 2 2 2
direct
0.000 0.500 0.000 Y
0.000 0.500 0.500 Y
0.089 0.911 0.750 Y
0.405 0.595 0.750 Y
0.500 0.000 0.000 Y
0.500 0.000 0.500 Y
0.595 0.405 0.250 Y
0.911 0.089 0.250 Y
0.108 0.892 0.250 Tl
0.892 0.108 0.750 Tl
0.395 0.605 0.250 Bi
0.605 0.395 0.750 Bi
0.247 0.753 0.750 N
0.753 0.247 0.250 N

---

Record 11
ZrTlBi2N | the Alexandria database | PBE | optimized geometry; uncorrected formation energy = 0.5989 eV/atom; symmetry = No. 123; final energy = -4.80 eV per atom
1.0
5.069 0.000 0.000
0.000 5.069 0.000
0.000 0.000 4.586
Zr Tl Bi N
1 1 2 1
direct
0.000 0.000 0.000 Zr
0.500 0.500 0.000 Tl
0.000 0.500 0.500 Bi
0.500 0.000 0.500 Bi
0.500 0.500 0.500 N

---

Record 12
Tm5Bi2N | the Alexandria database | PBE | optimized geometry; uncorrected formation energy = -0.4095 eV/atom; symmetry = No. 63; final energy = -5.22 eV per atom
1.0
2.190 -8.105 0.000
2.190 8.105 0.000
0.000 0.000 13.768
Tm Bi N
10 4 2
direct
0.107 0.893 0.620 Tm
0.107 0.893 0.880 Tm
0.259 0.741 0.250 Tm
0.306 0.694 0.557 Tm
0.306 0.694 0.943 Tm
0.694 0.306 0.057 Tm
0.694 0.306 0.443 Tm
0.741 0.259 0.750 Tm
0.893 0.107 0.120 Tm
0.893 0.107 0.380 Tm
0.082 0.918 0.126 Bi
0.082 0.918 0.374 Bi
0.918 0.082 0.626 Bi
0.918 0.082 0.874 Bi
0.189 0.811 0.750 N
0.811 0.189 0.250 N